[1]
Material: Na2TaAlOs
Method: DFT, GGA-PBEsol
State: optimized geometry

Lattice parameters (Å, degrees): 5.655 5.655 4.586 90.00 90.00 90.00
Space group P4/mmm (No. 123)
Symmetry-distinct sites (fractional):
1 Na 0.000 0.500 0.000 (multiplicity 2)
2 Ta 0.000 0.000 0.000 (multiplicity 1)
3 Al 0.500 0.500 0.500 (multiplicity 1)
4 Os 0.000 0.000 0.500 (multiplicity 1)

Results
Its volume is 146.7 Å³/cell. The calculation puts the formation enthalpy at 0 K at 1773 meV per atom.

[2]
Material: NaSr2AlP3
Method: DFT, GGA-PBEsol
State: optimized geometry

Lattice parameters (Å, degrees): 13.288 9.012 11.424 90.00 106.77 90.00
Space group C2/m (No. 12)
Symmetry-distinct sites (fractional):
1 Na 0.000 0.197 0.000 (multiplicity 4)
2 Na 0.148 0.000 0.236 (multiplicity 4)
3 Sr 0.030 0.277 0.686 (multiplicity 8)
4 Sr 0.250 0.250 0.000 (multiplicity 4)
5 Sr 0.250 0.250 0.500 (multiplicity 4)
6 Al 0.091 0.500 0.117 (multiplicity 4)
7 Al 0.197 0.000 0.731 (multiplicity 4)
8 P 0.087 0.000 0.510 (multiplicity 4)
9 P 0.088 0.500 0.512 (multiplicity 4)
10 P 0.090 0.000 0.862 (multiplicity 4)
11 P 0.091 0.500 0.904 (multiplicity 4)
12 P 0.184 0.295 0.229 (multiplicity 8)

Results
Its volume is 1309.9 Å³/cell. The calculation puts the formation enthalpy at 0 K at -885 meV per atom.

[3]
Material: NaSr2AlP
Method: DFT, GGA-PBEsol
State: optimized geometry

Lattice parameters (Å, degrees): 5.859 5.859 4.823 90.00 90.00 90.00
Space group P4/mmm (No. 123)
Symmetry-distinct sites (fractional):
1 Na 0.000 0.000 0.000 (multiplicity 1)
2 Sr 0.000 0.500 0.500 (multiplicity 2)
3 Al 0.500 0.500 0.000 (multiplicity 1)
4 P 0.500 0.500 0.500 (multiplicity 1)

Results
Its volume is 165.6 Å³/cell. The calculation puts the formation enthalpy at 0 K at -246 meV per atom.

[4]
Material: Na3Sr3AlP4
Method: DFT, GGA-PBEsol
State: optimized geometry

Lattice parameters (Å, degrees): 9.3371 9.3371 7.3107 90.00 90.00 120.00
Space group P6_3mc (No. 186)
Symmetry-distinct sites (fractional):
1 Na 0.1341 0.2682 0.0000 (multiplicity 6)
2 Sr 0.0480 0.5240 0.3301 (multiplicity 6)
3 Al 0.3333 0.6667 0.7065 (multiplicity 2)
4 P 0.1915 0.3830 0.6105 (multiplicity 6)
5 P 0.3333 0.6667 0.0429 (multiplicity 2)

Results
Its volume is 552.0 Å³/cell. The calculation puts the formation enthalpy at 0 K at -827 meV per atom.

[5]
Material: NaY2AlPb
Method: DFT, GGA-PBEsol
State: optimized geometry

Lattice parameters (Å, degrees): 5.337 5.337 5.092 90.00 90.00 90.00
Space group P4/mmm (No. 123)
Symmetry-distinct sites (fractional):
1 Na 0.000 0.000 0.000 (multiplicity 1)
2 Y 0.000 0.500 0.000 (multiplicity 2)
3 Al 0.500 0.500 0.500 (multiplicity 1)
4 Pb 0.000 0.000 0.500 (multiplicity 1)

Results
Its volume is 145.0 Å³/cell. The calculation puts the formation enthalpy at 0 K at 755 meV per atom.

[6]
Material: Na2AlPd2
Method: DFT, GGA-PBEsol
State: optimized geometry

Lattice parameters (Å, degrees): 3.432 3.432 14.480 90.00 90.00 90.00
Space group I4/mmm (No. 139)
Symmetry-distinct sites (fractional):
1 Na 0.000 0.500 0.250 (multiplicity 4)
2 Al 0.000 0.000 0.000 (multiplicity 2)
3 Pd 0.000 0.000 0.410 (multiplicity 4)

Results
Its volume is 170.6 Å³/cell. The calculation puts the formation enthalpy at 0 K at 92 meV per atom.

[7]
Material: Na2TaAlPd
Method: DFT, GGA-PBEsol
State: optimized geometry

Lattice parameters (Å, degrees): 4.882 4.882 4.973 90.00 90.00 90.00
Space group P4/mmm (No. 123)
Symmetry-distinct sites (fractional):
1 Na 0.000 0.500 0.000 (multiplicity 2)
2 Ta 0.000 0.000 0.500 (multiplicity 1)
3 Al 0.000 0.000 0.000 (multiplicity 1)
4 Pd 0.500 0.500 0.500 (multiplicity 1)

Results
Its volume is 118.5 Å³/cell. The calculation puts the formation enthalpy at 0 K at 1395 meV per atom.

[8]
Material: NaAl2Pt
Method: DFT, GGA-PBEsol
State: optimized geometry

Lattice parameters (Å, degrees): 5.414 5.414 15.358 90.00 90.00 90.00
Space group I4_1/amd (No. 141, origin choice 2)
Symmetry-distinct sites (fractional):
1 Na 0.000 0.250 0.375 (multiplicity 4)
2 Al 0.000 0.000 0.000 (multiplicity 8)
3 Pt 0.000 0.250 0.875 (multiplicity 4)

Results
Its volume is 450.1 Å³/cell. The calculation puts the formation enthalpy at 0 K at -47 meV per atom.

[9]
Material: NaAlPt3
Method: DFT, GGA-PBEsol
State: optimized geometry

Lattice parameters (Å, degrees): 4.564 4.564 4.564 90.00 90.00 90.00
Space group Pm-3m (No. 221)
Symmetry-distinct sites (fractional):
1 Na 0.000 0.000 0.000 (multiplicity 1)
2 Al 0.500 0.500 0.500 (multiplicity 1)
3 Pt 0.000 0.500 0.500 (multiplicity 3)

Results
Its volume is 95.1 Å³/cell. The calculation puts the formation enthalpy at 0 K at 201 meV per atom.

[10]
Material: Rb3NaAl
Method: DFT, GGA-PBEsol
State: optimized geometry

Lattice parameters (Å, degrees): 6.952 6.952 6.952 90.00 90.00 90.00
Space group Pm-3m (No. 221)
Symmetry-distinct sites (fractional):
1 Rb 0.000 0.000 0.500 (multiplicity 3)
2 Na 0.500 0.500 0.500 (multiplicity 1)
3 Al 0.000 0.000 0.000 (multiplicity 1)

Results
Its volume is 335.9 Å³/cell. The calculation puts the formation enthalpy at 0 K at 378 meV per atom.

[11]
Material: Na2Al2Sb3
Method: DFT, GGA-PBEsol
State: optimized geometry

Lattice parameters (Å, degrees): 14.057 7.154 15.386 90.00 90.47 90.00
Space group P2_1/c (No. 14)
Symmetry-distinct sites (fractional):
1 Na 0.059 0.049 0.102 (multiplicity 4)
2 Na 0.148 0.559 0.021 (multiplicity 4)
3 Na 0.365 0.042 0.012 (multiplicity 4)
4 Na 0.422 0.534 0.114 (multiplicity 4)
5 Al 0.095 0.725 0.263 (multiplicity 4)
6 Al 0.187 0.209 0.338 (multiplicity 4)
7 Al 0.313 0.733 0.332 (multiplicity 4)
8 Al 0.403 0.207 0.272 (multiplicity 4)
9 Sb 0.020 0.023 0.343 (multiplicity 4)
10 Sb 0.164 0.548 0.407 (multiplicity 4)
11 Sb 0.245 0.233 0.173 (multiplicity 4)
12 Sb 0.252 0.674 0.669 (multiplicity 4)
13 Sb 0.342 0.047 0.421 (multiplicity 4)
14 Sb 0.475 0.529 0.333 (multiplicity 4)

Results
The value obtained for the final energy is -3.79 eV per atom. Its volume is 1547.1 Å³/cell.

[12]
Material: Na7Al2Sb5
Method: DFT, GGA-PBEsol
State: optimized geometry

Lattice parameters (Å, degrees): 7.695 13.485 8.158 90.00 118.01 90.00
Space group P2_1/m (No. 11)
Symmetry-distinct sites (fractional):
1 Na 0.061 0.250 0.260 (multiplicity 2)
2 Na 0.271 0.250 0.857 (multiplicity 2)
3 Na 0.308 0.576 0.883 (multiplicity 4)
4 Na 0.390 0.075 0.584 (multiplicity 4)
5 Na 0.401 0.750 0.595 (multiplicity 2)
6 Al 0.087 0.588 0.161 (multiplicity 4)
7 Sb 0.030 0.603 0.464 (multiplicity 4)
8 Sb 0.277 0.080 0.151 (multiplicity 4)
9 Sb 0.303 0.750 0.162 (multiplicity 2)

Results
The value obtained for the final energy is -3.29 eV per atom. Its volume is 747.3 Å³/cell.